Record 1
The following is a GGA-PBE calculation of a geometry-optimized CrMo3H4 structure, from the Alexandria database.

VASP energy = -6.897 eV per atom
space group = No. 221

Unit cell a=4.074 b=4.074 c=4.074 alpha=90.00 beta=90.00 gamma=90.00
Positions (direct):
Cr 0.000 0.000 0.000
Mo 0.000 0.500 0.500
Mo 0.500 0.000 0.500
Mo 0.500 0.500 0.000
H 0.000 0.000 0.500
H 0.000 0.500 0.000
H 0.500 0.000 0.000
H 0.500 0.500 0.500

=====

Record 2
The following is a GGA-PBE calculation of a geometry-optimized InW4 structure, from the Alexandria database.

VASP energy = -7.749 eV per atom
space group = No. 221

Unit cell a=4.762 b=4.762 c=4.762 alpha=90.00 beta=90.00 gamma=90.00
Positions (direct):
In 0.000 0.000 0.000
W 0.000 0.000 0.500
W 0.000 0.500 0.000
W 0.500 0.000 0.000
W 0.500 0.500 0.500

=====

Record 3
The following is a GGA-PBE calculation of a geometry-optimized BaCoSb4 structure, from the Alexandria database.

formation energy (no corrections) = 0.2325 eV/atom
VASP energy = -4.021 eV per atom
space group = No. 216

Unit cell a=6.347 b=6.347 c=6.347 alpha=60.00 beta=60.00 gamma=60.00
Positions (direct):
Ba 0.000 0.000 0.000
Co 0.750 0.750 0.750
Sb 0.377 0.377 0.377
Sb 0.377 0.377 0.869
Sb 0.377 0.869 0.377
Sb 0.869 0.377 0.377

=====

Record 4
The following is a GGA-PBE calculation of a geometry-optimized Li2TiAu2 structure, from the Alexandria database.

VASP energy = -3.996 eV per atom
space group = No. 127

Unit cell a=7.405 b=7.405 c=2.789 alpha=90.00 beta=90.00 gamma=90.00
Positions (direct):
Li 0.112 0.388 0.000
Li 0.388 0.888 0.000
Li 0.612 0.112 0.000
Li 0.888 0.612 0.000
Ti 0.000 0.000 0.000
Ti 0.500 0.500 0.000
Au 0.187 0.687 0.500
Au 0.313 0.187 0.500
Au 0.687 0.813 0.500
Au 0.813 0.313 0.500

=====

Record 5
The following is a GGA-PBE calculation of a geometry-optimized Ta2Ti2N3 structure, from the Alexandria database.

formation energy (no corrections) = -1.2017 eV/atom
VASP energy = -10.412 eV per atom
space group = No. 14

Unit cell a=5.928 b=5.194 c=5.972 alpha=90.00 beta=118.84 gamma=90.00
Positions (direct):
Ta 0.122 0.169 0.367
Ta 0.122 0.331 0.867
Ta 0.878 0.669 0.133
Ta 0.878 0.831 0.633
Ti 0.374 0.663 0.618
Ti 0.374 0.837 0.118
Ti 0.626 0.163 0.882
Ti 0.626 0.337 0.382
N 0.000 0.000 0.000
N 0.000 0.500 0.500
N 0.257 0.000 0.738
N 0.257 0.500 0.238
N 0.743 0.000 0.262
N 0.743 0.500 0.762

=====

Record 6
The following is a GGA-PBE calculation of a geometry-optimized CsTcGe structure, from the Alexandria database.

VASP energy = -5.105 eV per atom
space group = No. 2

Unit cell a=3.913 b=3.917 c=13.855 alpha=94.24 beta=93.63 gamma=108.93
Positions (direct):
Cs 0.023 0.249 0.184
Cs 0.977 0.751 0.816
Tc 0.343 0.123 0.451
Tc 0.657 0.877 0.549
Ge 0.268 0.320 0.624
Ge 0.732 0.680 0.376

=====

Record 7
The following is a GGA-PBE calculation of a geometry-optimized Nd2Y6Ho2Th structure, from the Alexandria database.

VASP energy = -5.756 eV per atom
space group = No. 65

Unit cell a=6.661 b=6.661 c=10.706 alpha=90.00 beta=90.00 gamma=129.32
Positions (direct):
Nd 0.136 0.864 0.000
Nd 0.864 0.136 0.000
Y 0.000 0.000 0.291
Y 0.000 0.000 0.709
Y 0.348 0.652 0.215
Y 0.348 0.652 0.785
Y 0.652 0.348 0.215
Y 0.652 0.348 0.785
Ho 0.201 0.799 0.500
Ho 0.799 0.201 0.500
Th 0.500 0.500 0.500

=====

Record 8
The following is a GGA-PBE calculation of a geometry-optimized K2CdAg2I6 structure, from the Alexandria database.

formation energy (no corrections) = -0.7274 eV/atom
VASP energy = -2.374 eV per atom
space group = No. 12

Unit cell a=8.690 b=8.690 c=8.282 alpha=117.08 beta=117.08 gamma=58.26
Positions (direct):
K 0.245 0.245 0.199
K 0.755 0.755 0.801
Cd 0.000 0.000 0.500
Ag 0.442 0.442 0.786
Ag 0.558 0.558 0.214
I 0.179 0.693 0.194
I 0.230 0.230 0.606
I 0.307 0.821 0.806
I 0.693 0.179 0.194
I 0.770 0.770 0.394
I 0.821 0.307 0.806

=====

Record 9
The following is a GGA-PBE calculation of a geometry-optimized Cs2AlS structure, from the Alexandria database.

formation energy (no corrections) = 0.0182 eV/atom
VASP energy = -2.376 eV per atom
space group = No. 225

Unit cell a=6.056 b=6.056 c=6.056 alpha=60.00 beta=60.00 gamma=60.00
Positions (direct):
Cs 0.250 0.250 0.250
Cs 0.750 0.750 0.750
Al 0.000 0.000 0.000
S 0.500 0.500 0.500

=====

Record 10
The following is a GGA-PBE calculation of a geometry-optimized AcCuSi2Pt4 structure, from the Alexandria database.

formation energy (no corrections) = -0.5497 eV/atom
VASP energy = -5.951 eV per atom
space group = No. 123

Unit cell a=4.083 b=4.083 c=9.470 alpha=90.00 beta=90.00 gamma=90.00
Positions (direct):
Ac 0.000 0.000 0.000
Cu 0.000 0.000 0.500
Si 0.500 0.500 0.381
Si 0.500 0.500 0.619
Pt 0.000 0.500 0.256
Pt 0.000 0.500 0.744
Pt 0.500 0.000 0.256
Pt 0.500 0.000 0.744

=====

Record 11
The following is a GGA-PBE calculation of a geometry-optimized Sr2NpSe4 structure, from the Alexandria database.

formation energy (no corrections) = -1.6281 eV/atom
VASP energy = -5.948 eV per atom
space group = No. 55

Unit cell a=7.716 b=12.616 c=4.395 alpha=90.00 beta=90.00 gamma=90.00
Positions (direct):
Sr 0.088 0.183 0.000
Sr 0.412 0.683 0.000
Sr 0.588 0.317 0.000
Sr 0.912 0.817 0.000
Np 0.000 0.500 0.500
Np 0.500 0.000 0.500
Se 0.131 0.706 0.500
Se 0.230 0.452 0.000
Se 0.270 0.952 0.000
Se 0.369 0.206 0.500
Se 0.631 0.794 0.500
Se 0.730 0.048 0.000
Se 0.770 0.548 0.000
Se 0.869 0.294 0.500

=====

Record 12
The following is a GGA-PBE calculation of a geometry-optimized Tl3SnC structure, from the Alexandria database.

VASP energy = -2.436 eV per atom
space group = No. 221

Unit cell a=5.945 b=5.945 c=5.945 alpha=90.00 beta=90.00 gamma=90.00
Positions (direct):
Tl 0.000 0.000 0.500
Tl 0.000 0.500 0.000
Tl 0.500 0.000 0.000
Sn 0.000 0.000 0.000
C 0.500 0.500 0.500

=====

Record 13
The following is a GGA-PBE calculation of a geometry-optimized PmDy3Pb3 structure, from the Alexandria database.

VASP energy = -4.457 eV per atom
space group = No. 12

Unit cell a=8.014 b=8.014 c=7.889 alpha=91.17 beta=91.17 gamma=113.51
Positions (direct):
Pm 0.200 0.200 0.090
Pm 0.800 0.800 0.910
Dy 0.138 0.138 0.629
Dy 0.282 0.718 0.000
Dy 0.354 0.646 0.500
Dy 0.646 0.354 0.500
Dy 0.718 0.282 0.000
Dy 0.862 0.862 0.371
Pb 0.022 0.662 0.679
Pb 0.338 0.978 0.321
Pb 0.449 0.449 0.799
Pb 0.551 0.551 0.201
Pb 0.662 0.022 0.679
Pb 0.978 0.338 0.321

=====

Record 14
The following is a GGA-PBE calculation of a geometry-optimized SmDyY2As4 structure, from the Alexandria database.

VASP energy = -6.649 eV per atom
space group = No. 10

Unit cell a=7.179 b=4.148 c=7.180 alpha=90.00 beta=109.47 gamma=90.00
Positions (direct):
Sm 0.000 0.000 0.000
Dy 0.000 0.500 0.500
Y 0.500 0.000 0.500
Y 0.500 0.500 0.000
As 0.251 0.000 0.748
As 0.253 0.500 0.254
As 0.747 0.500 0.746
As 0.749 0.000 0.252

=====

Record 15
The following is a GGA-PBE calculation of a geometry-optimized Tm6HgSe5 structure, from the Alexandria database.

formation energy (no corrections) = -1.4701 eV/atom
VASP energy = -5.183 eV per atom
space group = No. 12

Unit cell a=7.048 b=7.048 c=7.034 alpha=99.58 beta=99.58 gamma=119.79
Positions (direct):
Tm 0.082 0.416 0.248
Tm 0.250 0.250 0.751
Tm 0.416 0.082 0.248
Tm 0.584 0.918 0.752
Tm 0.750 0.750 0.249
Tm 0.918 0.584 0.752
Hg 0.000 0.000 0.000
Se 0.169 0.831 0.500
Se 0.334 0.666 0.000
Se 0.500 0.500 0.500
Se 0.666 0.334 0.000
Se 0.831 0.169 0.500

=====

Record 16
The following is a GGA-PBE calculation of a geometry-optimized V3CrMo structure, from the Alexandria database.

VASP energy = -8.603 eV per atom
space group = No. 221

Unit cell a=4.260 b=4.260 c=4.260 alpha=90.00 beta=90.00 gamma=90.00
Positions (direct):
V 0.000 0.000 0.500
V 0.000 0.500 0.000
V 0.500 0.000 0.000
Cr 0.000 0.000 0.000
Mo 0.500 0.500 0.500

=====

Record 17
The following is a GGA-PBE calculation of a geometry-optimized TcIr3 structure, from the Alexandria database.

VASP energy = -9.345 eV per atom
space group = No. 12

Unit cell a=4.748 b=4.748 c=4.741 alpha=99.46 beta=99.46 gamma=33.37
Positions (direct):
Tc 0.000 0.000 0.000
Ir 0.251 0.251 0.752
Ir 0.500 0.500 0.500
Ir 0.749 0.749 0.248

=====

Record 18
The following is a GGA-PBE calculation of a geometry-optimized TiH2F structure, from the Alexandria database.

VASP energy = -4.865 eV per atom
space group = No. 122

Unit cell a=6.839 b=6.839 c=6.839 alpha=153.05 beta=153.05 gamma=38.49
Positions (direct):
Ti 0.000 0.000 0.000
Ti 0.750 0.250 0.500
H 0.375 0.032 0.157
H 0.782 0.625 0.657
H 0.875 0.218 0.843
H 0.968 0.125 0.343
F 0.250 0.750 0.500
F 0.500 0.500 0.000

=====

Record 19
The following is a GGA-PBE calculation of a geometry-optimized RbMg6Bi structure, from the Alexandria database.

VASP energy = -1.706 eV per atom
space group = No. 38

Unit cell a=5.108 b=7.827 c=7.827 alpha=49.07 beta=90.00 gamma=90.00
Positions (direct):
Rb 0.000 0.000 0.000
Mg 0.000 0.042 0.499
Mg 0.000 0.499 0.042
Mg 0.000 0.582 0.582
Mg 0.500 0.389 0.899
Mg 0.500 0.419 0.419
Mg 0.500 0.899 0.389
Bi 0.500 0.828 0.828

=====

Record 20
The following is a GGA-PBE calculation of a geometry-optimized KMn2P structure, from the Alexandria database.

VASP energy = -5.502 eV per atom
space group = No. 166

Unit cell a=9.198 b=9.198 c=9.198 alpha=17.50 beta=17.50 gamma=17.50
Positions (direct):
K 0.000 0.000 0.000
Mn 0.227 0.227 0.227
Mn 0.773 0.773 0.773
P 0.500 0.500 0.500

=====

Record 21
The following is a GGA-PBE calculation of a geometry-optimized DyUSb structure, from the Alexandria database.

formation energy (no corrections) = -0.0887 eV/atom
VASP energy = -6.760 eV per atom
space group = No. 26

Unit cell a=3.819 b=9.072 c=9.784 alpha=90.00 beta=90.00 gamma=90.00
Positions (direct):
Dy 0.000 0.111 0.000
Dy 0.000 0.260 0.342
Dy 0.000 0.740 0.842
Dy 0.000 0.889 0.500
U 0.000 0.241 0.667
U 0.000 0.496 0.601
U 0.000 0.504 0.101
U 0.000 0.759 0.167
Sb 0.500 0.010 0.251
Sb 0.500 0.434 0.854
Sb 0.500 0.566 0.354
Sb 0.500 0.990 0.751